Entry 1:
The following is a PBE-GGA calculation of a relaxed Os2PtPb crystal, from Alexandria.

Spin magnetization, μB per atom: 0.00

The structure in CIF format:
```
data_Os2PtPb
_chemical_formula_sum 'Os4 Pt2 Pb2'
_cell_length_a 2.838
_cell_length_b 4.815
_cell_length_c 10.254
_cell_angle_alpha 90.00
_cell_angle_beta 90.00
_cell_angle_gamma 90.00
_space_group_name_H-M_alt 'I m m m'
_space_group_IT_number 71
_space_group_name_Hall '-I 2 2'
loop_
_atom_site_label
_atom_site_type_symbol
_atom_site_fract_x
_atom_site_fract_y
_atom_site_fract_z
Os1 Os 0.000 0.000 0.228
Pt1 Pt 0.000 0.500 0.500
Pb1 Pb 0.000 0.500 0.000
```


Entry 2:
The following is a PBE-GGA calculation of a relaxed Os2PtPb crystal, from Alexandria.

Spin magnetization, μB per atom: 0.00

The structure in CIF format:
```
data_Os2PtPb
_chemical_formula_sum 'Os4 Pt2 Pb2'
_cell_length_a 4.144
_cell_length_b 4.144
_cell_length_c 7.751
_cell_angle_alpha 90.00
_cell_angle_beta 90.00
_cell_angle_gamma 90.00
_space_group_name_H-M_alt 'I 4/m m m'
_space_group_IT_number 139
_space_group_name_Hall '-I 4 2'
loop_
_atom_site_label
_atom_site_type_symbol
_atom_site_fract_x
_atom_site_fract_y
_atom_site_fract_z
Os1 Os 0.000 0.500 0.250
Pt1 Pt 0.000 0.000 0.000
Pb1 Pb 0.000 0.000 0.500
```


Entry 3:
The following is a PBE-GGA calculation of a relaxed Os2PtPb crystal, from Alexandria.

Spin magnetization, μB per atom: 0.00

The structure in CIF format:
```
data_Os2PtPb
_chemical_formula_sum 'Os2 Pt1 Pb1'
_cell_length_a 2.917
_cell_length_b 2.917
_cell_length_c 8.341
_cell_angle_alpha 90.00
_cell_angle_beta 90.00
_cell_angle_gamma 90.00
_space_group_name_H-M_alt 'P 4 m m'
_space_group_IT_number 99
loop_
_space_group_symop_operation_xyz
'x,y,z'
'-y,x,z'
'-x,-y,z'
'y,-x,z'
'-x,y,z'
'y,x,z'
'x,-y,z'
'-y,-x,z'
loop_
_atom_site_label
_atom_site_type_symbol
_atom_site_fract_x
_atom_site_fract_y
_atom_site_fract_z
Os1 Os 0.000 0.000 0.000
Os2 Os 0.500 0.500 0.190
Pt1 Pt 0.500 0.500 0.771
Pb1 Pb 0.000 0.000 0.474
```


Entry 4:
The following is a PBE-GGA calculation of a relaxed OsPtPb crystal, from Alexandria.

E above lowest polymorph, meV/atom: 28
Spin magnetization, μB per atom: 0.29

The structure in CIF format:
```
data_OsPtPb
_chemical_formula_sum 'Os2 Pt2 Pb2'
_cell_length_a 3.008
_cell_length_b 3.008
_cell_length_c 12.788
_cell_angle_alpha 90.00
_cell_angle_beta 90.00
_cell_angle_gamma 90.00
_space_group_name_H-M_alt 'I 4 m m'
_space_group_IT_number 107
_space_group_name_Hall 'I 4 -2'
loop_
_atom_site_label
_atom_site_type_symbol
_atom_site_fract_x
_atom_site_fract_y
_atom_site_fract_z
Os1 Os 0.000 0.000 0.000
Pt1 Pt 0.000 0.000 0.627
Pb1 Pb 0.000 0.000 0.325
```


Entry 5:
The following is a PBE-GGA calculation of a relaxed Os4PtPb crystal, from Alexandria.

Spin magnetization, μB per atom: 0.00

The structure in CIF format:
```
data_Os4PtPb
_chemical_formula_sum 'Os16 Pt4 Pb4'
_cell_length_a 7.434
_cell_length_b 7.434
_cell_length_c 7.434
_cell_angle_alpha 90.00
_cell_angle_beta 90.00
_cell_angle_gamma 90.00
_space_group_name_H-M_alt 'F -4 3 m'
_space_group_IT_number 216
_space_group_name_Hall 'F -4 2 3'
loop_
_atom_site_label
_atom_site_type_symbol
_atom_site_fract_x
_atom_site_fract_y
_atom_site_fract_z
Os1 Os 0.124 0.124 0.376
Pt1 Pt 0.250 0.250 0.750
Pb1 Pb 0.000 0.000 0.000
```


Entry 6:
The following is a PBE-GGA calculation of a relaxed Os2PtPb crystal, from Alexandria.

Spin magnetization, μB per atom: 0.00

The structure in CIF format:
```
data_Os2PtPb
_chemical_formula_sum 'Os2 Pt1 Pb1'
_cell_length_a 2.844
_cell_length_b 3.542
_cell_length_c 7.211
_cell_angle_alpha 90.00
_cell_angle_beta 90.00
_cell_angle_gamma 90.00
_space_group_name_H-M_alt 'P m m 2'
_space_group_IT_number 25
loop_
_space_group_symop_operation_xyz
'x,y,z'
'-x,-y,z'
'-x,y,z'
'x,-y,z'
loop_
_atom_site_label
_atom_site_type_symbol
_atom_site_fract_x
_atom_site_fract_y
_atom_site_fract_z
Os1 Os 0.000 0.000 0.000
Os2 Os 0.500 0.500 0.170
Pt1 Pt 0.500 0.500 0.770
Pb1 Pb 0.000 0.000 0.483
```


Entry 7:
The following is a PBE-GGA calculation of a relaxed OsPtPb crystal, from Alexandria.

E above lowest polymorph, meV/atom: 0
Spin magnetization, μB per atom: 0.00

The structure in CIF format:
```
data_OsPtPb
_chemical_formula_sum 'Os2 Pt2 Pb2'
_cell_length_a 2.854
_cell_length_b 3.948
_cell_length_c 10.927
_cell_angle_alpha 90.00
_cell_angle_beta 90.00
_cell_angle_gamma 90.00
_space_group_name_H-M_alt 'I m m 2'
_space_group_IT_number 44
loop_
_space_group_symop_operation_xyz
'x,y,z'
'-x,-y,z'
'-x,y,z'
'x,-y,z'
'x+1/2,y+1/2,z+1/2'
'-x+1/2,-y+1/2,z+1/2'
'-x+1/2,y+1/2,z+1/2'
'x+1/2,-y+1/2,z+1/2'
loop_
_atom_site_label
_atom_site_type_symbol
_atom_site_fract_x
_atom_site_fract_y
_atom_site_fract_z
Os1 Os 0.000 0.000 0.000
Pt1 Pt 0.000 0.000 0.412
Pb1 Pb 0.000 0.000 0.702
```


Entry 8:
The following is a PBE-GGA calculation of a relaxed Os2PtPb crystal, from Alexandria.

Spin magnetization, μB per atom: 0.00

The structure in CIF format:
```
data_Os2PtPb
_chemical_formula_sum 'Os4 Pt2 Pb2'
_cell_length_a 9.182
_cell_length_b 2.981
_cell_length_c 5.050
_cell_angle_alpha 90.00
_cell_angle_beta 99.31
_cell_angle_gamma 90.00
_space_group_name_H-M_alt 'C 1 m 1'
_space_group_IT_number 8
loop_
_space_group_symop_operation_xyz
'x,y,z'
'x,-y,z'
'x+1/2,y+1/2,z'
'x+1/2,-y+1/2,z'
loop_
_atom_site_label
_atom_site_type_symbol
_atom_site_fract_x
_atom_site_fract_y
_atom_site_fract_z
Os1 Os 0.000 0.000 0.000
Os2 Os 0.236 0.500 0.178
Pt1 Pt 0.485 0.000 0.441
Pb1 Pb 0.242 0.000 0.692
```


Entry 9:
The following is a PBE-GGA calculation of a relaxed OsPtPb crystal, from Alexandria.

E above lowest polymorph, meV/atom: 17
Spin magnetization, μB per atom: 0.21

The structure in CIF format:
```
data_OsPtPb
_chemical_formula_sum 'Os4 Pt4 Pb4'
_cell_length_a 6.306
_cell_length_b 6.306
_cell_length_c 6.306
_cell_angle_alpha 90.00
_cell_angle_beta 90.00
_cell_angle_gamma 90.00
_space_group_name_H-M_alt 'F -4 3 m'
_space_group_IT_number 216
_space_group_name_Hall 'F -4 2 3'
loop_
_atom_site_label
_atom_site_type_symbol
_atom_site_fract_x
_atom_site_fract_y
_atom_site_fract_z
Os1 Os 0.000 0.000 0.000
Pt1 Pt 0.250 0.250 0.750
Pb1 Pb 0.250 0.250 0.250
```


Entry 10:
The following is a PBE-GGA calculation of a relaxed OsPtPb3 crystal, from Alexandria.

E above lowest polymorph, meV/atom: 0
Spin magnetization, μB per atom: 0.00

The structure in CIF format:
```
data_OsPtPb3
_chemical_formula_sum 'Os1 Pt1 Pb3'
_cell_length_a 5.219
_cell_length_b 5.219
_cell_length_c 5.219
_cell_angle_alpha 90.00
_cell_angle_beta 90.00
_cell_angle_gamma 90.00
_space_group_name_H-M_alt 'P m -3 m'
_space_group_IT_number 221
_space_group_name_Hall '-P 4 2 3'
loop_
_atom_site_label
_atom_site_type_symbol
_atom_site_fract_x
_atom_site_fract_y
_atom_site_fract_z
Os1 Os 0.000 0.000 0.000
Pt1 Pt 0.500 0.500 0.500
Pb1 Pb 0.000 0.000 0.500
```


Entry 11:
The following is a PBE-GGA calculation of a relaxed Os2PtPb crystal, from Alexandria.

Spin magnetization, μB per atom: 0.00

The structure in CIF format:
```
data_Os2PtPb
_chemical_formula_sum 'Os4 Pt2 Pb2'
_cell_length_a 9.065
_cell_length_b 2.945
_cell_length_c 5.386
_cell_angle_alpha 90.00
_cell_angle_beta 102.97
_cell_angle_gamma 90.00
_space_group_name_H-M_alt 'C 1 2/m 1'
_space_group_IT_number 12
loop_
_space_group_symop_operation_xyz
'x,y,z'
'-x,-y,-z'
'-x,y,-z'
'x,-y,z'
'x+1/2,y+1/2,z'
'-x+1/2,-y+1/2,-z'
'-x+1/2,y+1/2,-z'
'x+1/2,-y+1/2,z'
loop_
_atom_site_label
_atom_site_type_symbol
_atom_site_fract_x
_atom_site_fract_y
_atom_site_fract_z
Os1 Os 0.250 0.000 0.201
Pt1 Pt 0.000 0.500 0.000
Pb1 Pb 0.000 0.000 0.500
```


Entry 12:
The following is a PBE-GGA calculation of a relaxed Os2PtPb crystal, from Alexandria.

Spin magnetization, μB per atom: 0.00

The structure in CIF format:
```
data_Os2PtPb
_chemical_formula_sum 'Os2 Pt1 Pb1'
_cell_length_a 2.884
_cell_length_b 4.786
_cell_length_c 5.051
_cell_angle_alpha 90.00
_cell_angle_beta 90.10
_cell_angle_gamma 90.00
_space_group_name_H-M_alt 'P 1 2/m 1'
_space_group_IT_number 10
loop_
_space_group_symop_operation_xyz
'x,y,z'
'-x,-y,-z'
'-x,y,-z'
'x,-y,z'
loop_
_atom_site_label
_atom_site_type_symbol
_atom_site_fract_x
_atom_site_fract_y
_atom_site_fract_z
Os1 Os 0.238 0.000 0.216
Pt1 Pt 0.500 0.500 0.000
Pb1 Pb 0.000 0.500 0.500
```


| no. | energy relative to the elements (eV/f.u.) |
| --- | --- |
| 1 | 3.2 |
| 2 | 3.2 |
| 3 | 1.8 |
| 4 | 2.1 |
| 5 | 6.1 |
| 6 | 2.0 |
| 7 | 2.0 |
| 8 | 2.5 |
| 9 | 2.1 |
| 10 | 3.3 |
| 11 | 2.6 |
| 12 | 3.3 |